1.
A plane-wave DFT calculation with SCAN was carried out for a PBEsol-optimized structure of Rb2Li2Al.

a b c (Å): 7.661 7.661 6.177
angles (deg): 90.00 90.00 90.00
Space group P4/mbm (No. 127)
One atom of each set of equivalent atoms:
1 Rb 0.184 0.316 0.000
2 Li 0.166 0.666 0.500
3 Al 0.000 0.000 0.500

DOS at the Fermi energy, states/eV per atom: 0.570
E_tot, eV/atom: -10.558


2.
A plane-wave DFT calculation with SCAN was carried out for a PBEsol-optimized structure of BeCdRe.

a b c (Å): 3.108 4.359 12.708
angles (deg): 90.00 90.00 90.00
Space group Fmm2 (No. 42)
One atom of each set of equivalent atoms:
1 Be 0.000 0.000 0.000
2 Cd 0.000 0.000 0.331
3 Re 0.000 0.000 0.637

ΔE to the lowest computed polymorph, kJ per mole of atoms: 0.0
DOS at the Fermi energy, states/eV per atom: 0.414


3.
A plane-wave DFT calculation with SCAN was carried out for a PBEsol-optimized structure of Sr3GaCl.

a b c (Å): 6.065 6.065 6.065
angles (deg): 90.00 90.00 90.00
Space group Pm-3m (No. 221)
One atom of each set of equivalent atoms:
1 Sr 0.000 0.000 0.500
2 Ga 0.000 0.000 0.000
3 Cl 0.500 0.500 0.500

DOS at the Fermi energy, states/eV per atom: 0.279
E_tot, eV/atom: -18.777


4.
A plane-wave DFT calculation with SCAN was carried out for a PBEsol-optimized structure of LiHgPt2.

a b c (Å): 3.923 3.923 4.003
angles (deg): 90.00 90.00 90.00
Space group P4/mmm (No. 123)
One atom of each set of equivalent atoms:
1 Li 0.000 0.000 0.000
2 Hg 0.500 0.500 0.000
3 Pt 0.000 0.500 0.500

DOS at the Fermi energy, states/eV per atom: 0.427
E_tot, eV/atom: -53.081


5.
A plane-wave DFT calculation with SCAN was carried out for a PBEsol-optimized structure of LiBi3N.

a b c (Å): 4.911 4.911 4.911
angles (deg): 90.00 90.00 90.00
Space group Pm-3m (No. 221)
One atom of each set of equivalent atoms:
1 Li 0.000 0.000 0.000
2 Bi 0.000 0.500 0.500
3 N 0.500 0.500 0.500

DOS at the Fermi energy, states/eV per atom: 0.530
E_tot, eV/atom: -48.982


6.
A plane-wave DFT calculation with SCAN was carried out for a PBEsol-optimized structure of Ag2C.

a b c (Å): 2.824 2.824 20.789
angles (deg): 90.00 90.00 90.00
Space group I4_1/amd (No. 141, origin choice 2)
One atom of each set of equivalent atoms:
1 Ag 0.000 0.250 0.308
2 C 0.000 0.250 0.875

ΔE to the lowest computed polymorph, kJ per mole of atoms: 25.0
DOS at the Fermi energy, states/eV per atom: 0.302


7.
A plane-wave DFT calculation with SCAN was carried out for a PBEsol-optimized structure of MgMn2Br.

a b c (Å): 3.921 3.921 9.191
angles (deg): 90.00 90.00 90.00
Space group I4/mmm (No. 139)
One atom of each set of equivalent atoms:
1 Mg 0.000 0.000 0.000
2 Mn 0.000 0.500 0.250
3 Br 0.000 0.000 0.500

ΔE to the lowest computed polymorph, kJ per mole of atoms: 30.1
DOS at the Fermi energy, states/eV per atom: 0.558


8.
A plane-wave DFT calculation with SCAN was carried out for a PBEsol-optimized structure of BaGaCoCu2.

a b c (Å): 4.637 4.637 5.026
angles (deg): 90.00 90.00 90.00
Space group P4/mmm (No. 123)
One atom of each set of equivalent atoms:
1 Ba 0.000 0.000 0.000
2 Ga 0.500 0.500 0.000
3 Co 0.000 0.000 0.500
4 Cu 0.000 0.500 0.500

DOS at the Fermi energy, states/eV per atom: 0.645
E_tot, eV/atom: -19.914


9.
A plane-wave DFT calculation with SCAN was carried out for a PBEsol-optimized structure of MgCdAg.

a b c (Å): 4.7078 4.7078 2.9490
angles (deg): 90.00 90.00 120.00
Space group P3m1 (No. 156)
One atom of each set of equivalent atoms:
1 Mg 0.0000 0.0000 0.0000
2 Cd 0.6667 0.3333 0.5882
3 Ag 0.3333 0.6667 0.3709

ΔE to the lowest computed polymorph, kJ per mole of atoms: 4.0
DOS at the Fermi energy, states/eV per atom: 0.249


10.
A plane-wave DFT calculation with SCAN was carried out for a PBEsol-optimized structure of Ru4SeBr.

a b c (Å): 7.291 7.291 7.291
angles (deg): 90.00 90.00 90.00
Space group F-43m (No. 216)
One atom of each set of equivalent atoms:
1 Ru 0.125 0.125 0.125
2 Se 0.250 0.250 0.750
3 Br 0.000 0.000 0.500

DOS at the Fermi energy, states/eV per atom: 0.787
E_tot, eV/atom: -28.616


11.
A plane-wave DFT calculation with SCAN was carried out for a PBEsol-optimized structure of MgNb2FeP.

a b c (Å): 4.642 4.642 4.109
angles (deg): 90.00 90.00 90.00
Space group P4/mmm (No. 123)
One atom of each set of equivalent atoms:
1 Mg 0.000 0.000 0.000
2 Nb 0.000 0.500 0.500
3 Fe 0.500 0.500 0.500
4 P 0.500 0.500 0.000

DOS at the Fermi energy, states/eV per atom: 0.723
E_tot, eV/atom: -19.491


12.
A plane-wave DFT calculation with SCAN was carried out for a PBEsol-optimized structure of LiCoAsO4.

a b c (Å): 10.333 5.904 4.872
angles (deg): 90.00 90.00 90.00
Space group Pnma (No. 62)
One atom of each set of equivalent atoms:
1 Li 0.000 0.000 0.000
2 Co 0.227 0.250 0.495
3 As 0.094 0.750 0.442
4 O 0.057 0.250 0.706
5 O 0.094 0.750 0.792
6 O 0.173 0.526 0.282

ΔE to the lowest computed polymorph, kJ per mole of atoms: 0.3


13.
A plane-wave DFT calculation with SCAN was carried out for a PBEsol-optimized structure of Sc2FeMo.

a b c (Å): 3.113 4.588 9.258
angles (deg): 90.00 90.00 90.00
Space group Imm2 (No. 44)
One atom of each set of equivalent atoms:
1 Sc 0.000 0.000 0.000
2 Sc 0.000 0.500 0.218
3 Fe 0.000 0.000 0.473
4 Mo 0.000 0.500 0.776

ΔE to the lowest computed polymorph, kJ per mole of atoms: 4.1
DOS at the Fermi energy, states/eV per atom: 0.902


14.
A plane-wave DFT calculation with SCAN was carried out for a PBEsol-optimized structure of LiCu.

a b c (Å): 2.995 2.995 5.707
angles (deg): 90.00 90.00 90.00
Space group P4/nmm (No. 129, origin choice 2)
One atom of each set of equivalent atoms:
1 Li 0.250 0.250 0.149
2 Cu 0.250 0.250 0.607

DOS at the Fermi energy, states/eV per atom: 0.306
E_tot, eV/atom: -8.762


15.
A plane-wave DFT calculation with SCAN was carried out for a PBEsol-optimized structure of BaCa2Tl2.

a b c (Å): 9.070 9.070 4.102
angles (deg): 90.00 90.00 90.00
Space group P4/mbm (No. 127)
One atom of each set of equivalent atoms:
1 Ba 0.000 0.000 0.000
2 Ca 0.163 0.337 0.500
3 Tl 0.129 0.629 0.000

ΔE to the lowest computed polymorph, kJ per mole of atoms: 1.3
DOS at the Fermi energy, states/eV per atom: 0.843


16.
A plane-wave DFT calculation with SCAN was carried out for a PBEsol-optimized structure of LiHgRhSe2.

a b c (Å): 5.125 5.125 4.454
angles (deg): 90.00 90.00 90.00
Space group P4/mmm (No. 123)
One atom of each set of equivalent atoms:
1 Li 0.000 0.000 0.000
2 Hg 0.000 0.000 0.500
3 Rh 0.500 0.500 0.000
4 Se 0.000 0.500 0.500

DOS at the Fermi energy, states/eV per atom: 0.246
E_tot, eV/atom: -28.186


17.
A plane-wave DFT calculation with SCAN was carried out for a PBEsol-optimized structure of LiBi3S.

a b c (Å): 5.373 5.373 5.373
angles (deg): 90.00 90.00 90.00
Space group Pm-3m (No. 221)
One atom of each set of equivalent atoms:
1 Li 0.000 0.000 0.000
2 Bi 0.000 0.500 0.500
3 S 0.500 0.500 0.500

DOS at the Fermi energy, states/eV per atom: 0.887
E_tot, eV/atom: -49.173


18.
A plane-wave DFT calculation with SCAN was carried out for a PBEsol-optimized structure of BaFe2Tc.

a b c (Å): 2.947 5.332 9.694
angles (deg): 90.00 90.00 90.00
Space group Immm (No. 71)
One atom of each set of equivalent atoms:
1 Ba 0.000 0.000 0.000
2 Fe 0.000 0.500 0.205
3 Tc 0.000 0.000 0.500

ΔE to the lowest computed polymorph, kJ per mole of atoms: 64.0
DOS at the Fermi energy, states/eV per atom: 1.175


19.
A plane-wave DFT calculation with SCAN was carried out for a PBEsol-optimized structure of Cu2ReSe.

a b c (Å): 3.654 3.654 4.051
angles (deg): 90.00 90.00 90.00
Space group P4/mmm (No. 123)
One atom of each set of equivalent atoms:
1 Cu 0.000 0.500 0.000
2 Re 0.000 0.000 0.500
3 Se 0.500 0.500 0.500

DOS at the Fermi energy, states/eV per atom: 0.793
E_tot, eV/atom: -29.653


20.
A plane-wave DFT calculation with SCAN was carried out for a PBEsol-optimized structure of ReS2ClO9.

a b c (Å): 7.230 7.871 8.163
angles (deg): 89.61 79.27 68.29
Space group P-1 (No. 2)
One atom of each set of equivalent atoms:
1 Re 0.232 0.303 0.198
2 S 0.086 0.269 0.623
3 S 0.341 0.649 0.281
4 Cl 0.001 0.815 0.813
5 O 0.030 0.466 0.670
6 O 0.122 0.746 0.415
7 O 0.159 0.147 0.745
8 O 0.214 0.219 0.455
9 O 0.222 0.412 0.018
10 O 0.311 0.710 0.120
11 O 0.370 0.445 0.292
12 O 0.446 0.112 0.147
13 O 0.481 0.682 0.364

DOS at the Fermi energy, states/eV per atom: 0.000
E_tot, eV/atom: -13.189


21.
A plane-wave DFT calculation with SCAN was carried out for a PBEsol-optimized structure of Sc3RePd.

a b c (Å): 4.815 4.815 4.815
angles (deg): 90.00 90.00 90.00
Space group Pm-3m (No. 221)
One atom of each set of equivalent atoms:
1 Sc 0.000 0.000 0.500
2 Re 0.500 0.500 0.500
3 Pd 0.000 0.000 0.000

DOS at the Fermi energy, states/eV per atom: 0.666
E_tot, eV/atom: -28.750


22.
A plane-wave DFT calculation with SCAN was carried out for a PBEsol-optimized structure of BaZrSb2.

a b c (Å): 7.552 7.552 7.552
angles (deg): 90.00 90.00 90.00
Space group F-43m (No. 216)
One atom of each set of equivalent atoms:
1 Ba 0.000 0.000 0.000
2 Zr 0.250 0.250 0.750
3 Sb 0.000 0.000 0.500
4 Sb 0.250 0.250 0.250

ΔE to the lowest computed polymorph, kJ per mole of atoms: 92.5
DOS at the Fermi energy, states/eV per atom: 0.723


23.
A plane-wave DFT calculation with SCAN was carried out for a PBEsol-optimized structure of Ti2H2Ru.

a b c (Å): 2.988 2.988 11.037
angles (deg): 90.00 90.00 90.00
Space group I4/mmm (No. 139)
One atom of each set of equivalent atoms:
1 Ti 0.000 0.000 0.141
2 H 0.000 0.500 0.250
3 Ru 0.000 0.000 0.500

DOS at the Fermi energy, states/eV per atom: 0.282
E_tot, eV/atom: -15.402


24.
A plane-wave DFT calculation with SCAN was carried out for a PBEsol-optimized structure of Tl3Cd2.

a b c (Å): 3.2818 3.2818 40.8955
angles (deg): 90.00 90.00 120.00
Space group R-3m (No. 166, hexagonal axes)
One atom of each set of equivalent atoms:
1 Tl 0.0000 0.0000 0.0000
2 Tl 0.0000 0.0000 0.2032
3 Cd 0.0000 0.0000 0.3984

ΔE to the lowest computed polymorph, kJ per mole of atoms: 0.0
DOS at the Fermi energy, states/eV per atom: 0.458


25.
A plane-wave DFT calculation with SCAN was carried out for a PBEsol-optimized structure of CoNiSb2.

a b c (Å): 6.346 6.346 6.346
angles (deg): 90.00 90.00 90.00
Space group Fm-3m (No. 225)
One atom of each set of equivalent atoms:
1 Co 0.000 0.000 0.000
2 Ni 0.000 0.000 0.500
3 Sb 0.250 0.250 0.250

DOS at the Fermi energy, states/eV per atom: 0.730
E_tot, eV/atom: -26.613